The following is a DFT calculation (GGA-PBE) of an optimized crystal structure of ScCuNO2.

Space-group type ... No. 123
Uncorrected formation energy ... -0.63 eV/atom
Mass density ... 5.0 Mg/m³
E_tot ... -6.36 eV per atom
D(E_F) ... 3.54 states/eV/f.u.

Unit cell a=3.734 b=3.734 c=3.706 alpha=90.00 beta=90.00 gamma=90.00
Fractional positions:
1 Sc 0.500 0.500 0.500
2 O 0.500 0.000 0.000
3 O 0.000 0.500 0.000
4 Cu 0.000 0.000 0.000
5 N 0.000 0.000 0.500

The following is a DFT calculation (GGA-PBE) of an optimized crystal structure of ScCuNO2.

Space-group type ... No. 123
Uncorrected formation energy ... -0.20 eV/atom
Mass density ... 3.8 Mg/m³
E_tot ... -5.94 eV per atom
D(E_F) ... 7.67 states/eV/f.u.

Unit cell a=4.017 b=4.017 c=4.215 alpha=90.00 beta=90.00 gamma=90.00
Fractional positions:
1 Cu 0.500 0.500 0.500
2 Sc 0.000 0.000 0.000
3 N 0.000 0.000 0.500
4 O 0.500 0.000 0.000
5 O 0.000 0.500 0.000

The following is a DFT calculation (GGA-PBE) of an optimized crystal structure of ScCuN2O.

Space-group type ... No. 123
Uncorrected formation energy ... 0.10 eV/atom
Mass density ... 4.9 Mg/m³
E_tot ... -6.31 eV per atom
D(E_F) ... 3.40 states/eV/f.u.

Unit cell a=3.695 b=3.695 c=3.806 alpha=90.00 beta=90.00 gamma=90.00
Fractional positions:
1 Cu 0.000 0.000 0.000
2 O 0.000 0.000 0.500
3 Sc 0.500 0.500 0.500
4 N 0.000 0.500 0.000
5 N 0.500 0.000 0.000

The following is a DFT calculation (GGA-PBE) of an optimized crystal structure of CuSeN2O.

Space-group type ... No. 123
Uncorrected formation energy ... 1.50 eV/atom
Mass density ... 5.7 Mg/m³
E_tot ... -4.34 eV per atom
D(E_F) ... 7.45 states/eV/f.u.

Unit cell a=3.816 b=3.816 c=3.750 alpha=90.00 beta=90.00 gamma=90.00
Fractional positions:
1 O 0.000 0.000 0.500
2 N 0.000 0.500 0.000
3 N 0.500 0.000 0.000
4 Se 0.000 0.000 0.000
5 Cu 0.500 0.500 0.500